*P*
La2InBi: relaxed, GGA-PBE.

```
data_La2InBi
_space_group_name_H-M_alt 'P 4/m m m'
_space_group_IT_number 123
_space_group_name_Hall '-P 4 2'
_cell_length_a 4.188
_cell_length_b 4.188
_cell_length_c 7.244
_cell_angle_alpha 90.00
_cell_angle_beta 90.00
_cell_angle_gamma 90.00
loop_
_atom_site_label
_atom_site_type_symbol
_atom_site_fract_x
_atom_site_fract_y
_atom_site_fract_z
La1 La 0.000 0.000 0.244
In1 In 0.500 0.500 0.500
Bi1 Bi 0.500 0.500 0.000
```

- Crystal system: tetragonal



*Q*
La2InBi: relaxed, GGA-PBE.

```
data_La2InBi
_space_group_name_H-M_alt 'C m c m'
_space_group_IT_number 63
_space_group_name_Hall '-C 2c 2'
_cell_length_a 4.783
_cell_length_b 25.605
_cell_length_c 4.635
_cell_angle_alpha 90.00
_cell_angle_beta 90.00
_cell_angle_gamma 90.00
loop_
_atom_site_label
_atom_site_type_symbol
_atom_site_fract_x
_atom_site_fract_y
_atom_site_fract_z
La1 La 0.000 0.062 0.250
La2 La 0.000 0.317 0.250
In1 In 0.000 0.461 0.250
Bi1 Bi 0.000 0.189 0.250
```

- Crystal system: orthorhombic



*R*
La2InBi: relaxed, GGA-PBE.

```
data_La2InBi
_space_group_name_H-M_alt 'R -3 m'
_space_group_IT_number 166
_space_group_name_Hall '-R 3 2"'
_cell_length_a 4.4795
_cell_length_b 4.4795
_cell_length_c 25.0807
_cell_angle_alpha 90.00
_cell_angle_beta 90.00
_cell_angle_gamma 120.00
loop_
_atom_site_label
_atom_site_type_symbol
_atom_site_fract_x
_atom_site_fract_y
_atom_site_fract_z
La1 La 0.0000 0.0000 0.2457
In1 In 0.0000 0.0000 0.0000
Bi1 Bi 0.0000 0.0000 0.5000
```

- Crystal system: trigonal



Most stable: *Q*. Least stable: *R*.



*P*
La2InBi: relaxed, GGA-PBE.

```
data_La2InBi
_space_group_name_H-M_alt 'I -4 2 d'
_space_group_IT_number 122
_space_group_name_Hall 'I -4 2bw'
_cell_length_a 8.838
_cell_length_b 8.838
_cell_length_c 7.076
_cell_angle_alpha 90.00
_cell_angle_beta 90.00
_cell_angle_gamma 90.00
loop_
_atom_site_label
_atom_site_type_symbol
_atom_site_fract_x
_atom_site_fract_y
_atom_site_fract_z
La1 La 0.246 0.750 0.125
In1 In 0.000 0.000 0.500
Bi1 Bi 0.000 0.000 0.000
```

- Crystal system: tetragonal



*Q*
La2InBi: relaxed, GGA-PBE.

```
data_La2InBi
_space_group_name_H-M_alt 'F m -3 m'
_space_group_IT_number 225
_space_group_name_Hall '-F 4 2 3'
_cell_length_a 8.012
_cell_length_b 8.012
_cell_length_c 8.012
_cell_angle_alpha 90.00
_cell_angle_beta 90.00
_cell_angle_gamma 90.00
loop_
_atom_site_label
_atom_site_type_symbol
_atom_site_fract_x
_atom_site_fract_y
_atom_site_fract_z
La1 La 0.250 0.250 0.250
In1 In 0.000 0.000 0.000
Bi1 Bi 0.000 0.000 0.500
```

- Crystal system: cubic



Most stable: *Q*. Least stable: *P*.



*P*
LaIn2Bi2: relaxed, GGA-PBE.

```
data_LaIn2Bi2
_space_group_name_H-M_alt 'P 4/m b m'
_space_group_IT_number 127
_space_group_name_Hall '-P 4 2ab'
_cell_length_a 8.562
_cell_length_b 8.562
_cell_length_c 4.313
_cell_angle_alpha 90.00
_cell_angle_beta 90.00
_cell_angle_gamma 90.00
loop_
_atom_site_label
_atom_site_type_symbol
_atom_site_fract_x
_atom_site_fract_y
_atom_site_fract_z
La1 La 0.000 0.000 0.000
In1 In 0.161 0.339 0.500
Bi1 Bi 0.137 0.637 0.000
```

- Crystal system: tetragonal



*Q*
LaIn2Bi2: relaxed, GGA-PBE.

```
data_LaIn2Bi2
_space_group_name_H-M_alt 'I 4/m m m'
_space_group_IT_number 139
_space_group_name_Hall '-I 4 2'
_cell_length_a 4.695
_cell_length_b 4.695
_cell_length_c 14.856
_cell_angle_alpha 90.00
_cell_angle_beta 90.00
_cell_angle_gamma 90.00
loop_
_atom_site_label
_atom_site_type_symbol
_atom_site_fract_x
_atom_site_fract_y
_atom_site_fract_z
La1 La 0.000 0.000 0.000
In1 In 0.000 0.000 0.405
Bi1 Bi 0.000 0.500 0.250
```

- Crystal system: tetragonal



Most stable: *P*. Least stable: *Q*.



*P*
LaIn2Bi2: relaxed, GGA-PBE.

```
data_LaIn2Bi2
_space_group_name_H-M_alt 'C m c m'
_space_group_IT_number 63
_space_group_name_Hall '-C 2c 2'
_cell_length_a 4.730
_cell_length_b 27.865
_cell_length_c 4.620
_cell_angle_alpha 90.00
_cell_angle_beta 90.00
_cell_angle_gamma 90.00
loop_
_atom_site_label
_atom_site_type_symbol
_atom_site_fract_x
_atom_site_fract_y
_atom_site_fract_z
La1 La 0.000 0.156 0.250
In1 In 0.000 0.045 0.750
In2 In 0.000 0.454 0.750
Bi1 Bi 0.000 0.250 0.750
Bi2 Bi 0.000 0.365 0.250
```

- Crystal system: orthorhombic



*Q*
LaIn2Bi2: relaxed, GGA-PBE.

```
data_LaIn2Bi2
_space_group_name_H-M_alt 'I 4/m m m'
_space_group_IT_number 139
_space_group_name_Hall '-I 4 2'
_cell_length_a 4.423
_cell_length_b 4.423
_cell_length_c 16.933
_cell_angle_alpha 90.00
_cell_angle_beta 90.00
_cell_angle_gamma 90.00
loop_
_atom_site_label
_atom_site_type_symbol
_atom_site_fract_x
_atom_site_fract_y
_atom_site_fract_z
La1 La 0.000 0.000 0.000
In1 In 0.000 0.500 0.250
Bi1 Bi 0.000 0.000 0.408
```

- Crystal system: tetragonal



Most stable: *P*. Least stable: *Q*.



*P*
La2InBi2: relaxed, GGA-PBE.

```
data_La2InBi2
_space_group_name_H-M_alt 'P 4/m b m'
_space_group_IT_number 127
_space_group_name_Hall '-P 4 2ab'
_cell_length_a 8.819
_cell_length_b 8.819
_cell_length_c 4.342
_cell_angle_alpha 90.00
_cell_angle_beta 90.00
_cell_angle_gamma 90.00
loop_
_atom_site_label
_atom_site_type_symbol
_atom_site_fract_x
_atom_site_fract_y
_atom_site_fract_z
La1 La 0.144 0.356 0.000
In1 In 0.000 0.000 0.000
Bi1 Bi 0.163 0.663 0.500
```

- Crystal system: tetragonal



*Q*
La2InBi2: relaxed, GGA-PBE.

```
data_La2InBi2
_space_group_name_H-M_alt 'P 4/m b m'
_space_group_IT_number 127
_space_group_name_Hall '-P 4 2ab'
_cell_length_a 8.752
_cell_length_b 8.752
_cell_length_c 4.380
_cell_angle_alpha 90.00
_cell_angle_beta 90.00
_cell_angle_gamma 90.00
loop_
_atom_site_label
_atom_site_type_symbol
_atom_site_fract_x
_atom_site_fract_y
_atom_site_fract_z
La1 La 0.157 0.343 0.000
In1 In 0.000 0.000 0.500
Bi1 Bi 0.148 0.648 0.500
```

- Crystal system: tetragonal



Most stable: *Q*. Least stable: *P*.



*P*
La4InBi: relaxed, GGA-PBE.

```
data_La4InBi
_space_group_name_H-M_alt 'P 1 2/m 1'
_space_group_IT_number 10
_cell_length_a 3.482
_cell_length_b 9.368
_cell_length_c 5.732
_cell_angle_alpha 90.00
_cell_angle_beta 90.09
_cell_angle_gamma 90.00
loop_
_space_group_symop_operation_xyz
'x,y,z'
'-x,-y,-z'
'-x,y,-z'
'x,-y,z'
loop_
_atom_site_label
_atom_site_type_symbol
_atom_site_fract_x
_atom_site_fract_y
_atom_site_fract_z
La1 La 0.000 0.166 0.000
La2 La 0.000 0.329 0.500
In1 In 0.500 0.000 0.500
Bi1 Bi 0.500 0.500 0.000
```

- Crystal system: monoclinic



*Q*
La4InBi: relaxed, GGA-PBE.

```
data_La4InBi
_space_group_name_H-M_alt 'C 1 2/c 1'
_space_group_IT_number 15
_cell_length_a 9.165
_cell_length_b 14.840
_cell_length_c 6.422
_cell_angle_alpha 90.00
_cell_angle_beta 112.36
_cell_angle_gamma 90.00
loop_
_space_group_symop_operation_xyz
'x,y,z'
'-x,-y,-z'
'-x,y,-z+1/2'
'x,-y,z+1/2'
'x+1/2,y+1/2,z'
'-x+1/2,-y+1/2,-z'
'-x+1/2,y+1/2,-z+1/2'
'x+1/2,-y+1/2,z+1/2'
loop_
_atom_site_label
_atom_site_type_symbol
_atom_site_fract_x
_atom_site_fract_y
_atom_site_fract_z
La1 La 0.106 0.190 0.062
La2 La 0.185 0.413 0.341
In1 In 0.000 0.001 0.750
Bi1 Bi 0.000 0.383 0.750
```

- Crystal system: monoclinic



Most stable: *Q*. Least stable: *P*.



*P*
LaInBi: relaxed, GGA-PBE.

```
data_LaInBi
_space_group_name_H-M_alt 'P -3 m 1'
_space_group_IT_number 164
_space_group_name_Hall '-P 3 2"'
_cell_length_a 5.0995
_cell_length_b 5.0995
_cell_length_c 9.6715
_cell_angle_alpha 90.00
_cell_angle_beta 90.00
_cell_angle_gamma 120.00
loop_
_atom_site_label
_atom_site_type_symbol
_atom_site_fract_x
_atom_site_fract_y
_atom_site_fract_z
La1 La 0.0000 0.0000 0.2266
In1 In 0.3333 0.6667 0.0339
Bi1 Bi 0.3333 0.6667 0.3581
```

- Crystal system: trigonal



*Q*
LaInBi: relaxed, GGA-PBE.

```
data_LaInBi
_space_group_name_H-M_alt 'P 3 m 1'
_space_group_IT_number 156
_cell_length_a 5.1413
_cell_length_b 5.1413
_cell_length_c 4.2170
_cell_angle_alpha 90.00
_cell_angle_beta 90.00
_cell_angle_gamma 120.00
loop_
_space_group_symop_operation_xyz
'x,y,z'
'-y,x-y,z'
'-x+y,-x,z'
'-y,-x,z'
'-x+y,y,z'
'x,x-y,z'
loop_
_atom_site_label
_atom_site_type_symbol
_atom_site_fract_x
_atom_site_fract_y
_atom_site_fract_z
La1 La 0.0000 0.0000 0.0000
In1 In 0.6667 0.3333 0.3864
Bi1 Bi 0.3333 0.6667 0.5543
```

- Crystal system: trigonal



Most stable: *Q*. Least stable: *P*.



*P*
Li2InBi3: relaxed, GGA-PBE.

```
data_Li2InBi3
_space_group_name_H-M_alt 'P 4/m m m'
_space_group_IT_number 123
_space_group_name_Hall '-P 4 2'
_cell_length_a 3.436
_cell_length_b 3.436
_cell_length_c 13.194
_cell_angle_alpha 90.00
_cell_angle_beta 90.00
_cell_angle_gamma 90.00
loop_
_atom_site_label
_atom_site_type_symbol
_atom_site_fract_x
_atom_site_fract_y
_atom_site_fract_z
Li1 Li 0.000 0.000 0.151
In1 In 0.000 0.000 0.500
Bi1 Bi 0.500 0.500 0.000
Bi2 Bi 0.500 0.500 0.300
```

- Crystal system: tetragonal



*Q*
Li2InBi3: relaxed, GGA-PBE.

```
data_Li2InBi3
_space_group_name_H-M_alt 'C m m m'
_space_group_IT_number 65
_space_group_name_Hall '-C 2 2'
_cell_length_a 5.699
_cell_length_b 16.689
_cell_length_c 3.395
_cell_angle_alpha 90.00
_cell_angle_beta 90.00
_cell_angle_gamma 90.00
loop_
_atom_site_label
_atom_site_type_symbol
_atom_site_fract_x
_atom_site_fract_y
_atom_site_fract_z
Li1 Li 0.000 0.148 0.000
In1 In 0.000 0.500 0.000
Bi1 Bi 0.000 0.000 0.500
Bi2 Bi 0.000 0.303 0.500
```

- Crystal system: orthorhombic



Most stable: *P*. Least stable: *Q*.



*P*
Li2In2Bi: relaxed, GGA-PBE.

```
data_Li2In2Bi
_space_group_name_H-M_alt 'I 4/m m m'
_space_group_IT_number 139
_space_group_name_Hall '-I 4 2'
_cell_length_a 4.231
_cell_length_b 4.231
_cell_length_c 13.827
_cell_angle_alpha 90.00
_cell_angle_beta 90.00
_cell_angle_gamma 90.00
loop_
_atom_site_label
_atom_site_type_symbol
_atom_site_fract_x
_atom_site_fract_y
_atom_site_fract_z
Li1 Li 0.000 0.500 0.250
In1 In 0.000 0.000 0.106
Bi1 Bi 0.000 0.000 0.500
```

- Crystal system: tetragonal



*Q*
Li2In2Bi: relaxed, GGA-PBE.

```
data_Li2In2Bi
_space_group_name_H-M_alt 'P 4/m b m'
_space_group_IT_number 127
_space_group_name_Hall '-P 4 2ab'
_cell_length_a 8.235
_cell_length_b 8.235
_cell_length_c 3.412
_cell_angle_alpha 90.00
_cell_angle_beta 90.00
_cell_angle_gamma 90.00
loop_
_atom_site_label
_atom_site_type_symbol
_atom_site_fract_x
_atom_site_fract_y
_atom_site_fract_z
Li1 Li 0.163 0.337 0.000
In1 In 0.137 0.637 0.500
Bi1 Bi 0.000 0.000 0.000
```

- Crystal system: tetragonal



*R*
Li2In2Bi: relaxed, GGA-PBE.

```
data_Li2In2Bi
_space_group_name_H-M_alt 'P 1 21/m 1'
_space_group_IT_number 11
_cell_length_a 4.886
_cell_length_b 4.789
_cell_length_c 10.205
_cell_angle_alpha 90.00
_cell_angle_beta 90.18
_cell_angle_gamma 90.00
loop_
_space_group_symop_operation_xyz
'x,y,z'
'-x,-y,-z'
'-x,y+1/2,-z'
'x,-y+1/2,z'
loop_
_atom_site_label
_atom_site_type_symbol
_atom_site_fract_x
_atom_site_fract_y
_atom_site_fract_z
Li1 Li 0.247 0.250 0.001
Li2 Li 0.250 0.250 0.336
In1 In 0.249 0.750 0.503
In2 In 0.250 0.750 0.817
Bi1 Bi 0.254 0.750 0.176
```

- Crystal system: monoclinic



*S*
Li2In2Bi: relaxed, GGA-PBE.

```
data_Li2In2Bi
_space_group_name_H-M_alt 'P 4/m b m'
_space_group_IT_number 127
_space_group_name_Hall '-P 4 2ab'
_cell_length_a 8.384
_cell_length_b 8.384
_cell_length_c 3.315
_cell_angle_alpha 90.00
_cell_angle_beta 90.00
_cell_angle_gamma 90.00
loop_
_atom_site_label
_atom_site_type_symbol
_atom_site_fract_x
_atom_site_fract_y
_atom_site_fract_z
Li1 Li 0.174 0.326 0.000
In1 In 0.125 0.625 0.500
Bi1 Bi 0.000 0.000 0.500
```

- Crystal system: tetragonal



Most stable: *R*. Least stable: *P*.



*P*
Li3InBi3: relaxed, GGA-PBE.

```
data_Li3InBi3
_space_group_name_H-M_alt 'P m -3 n'
_space_group_IT_number 223
_space_group_name_Hall '-P 4n 2 3'
_cell_length_a 7.624
_cell_length_b 7.624
_cell_length_c 7.624
_cell_angle_alpha 90.00
_cell_angle_beta 90.00
_cell_angle_gamma 90.00
loop_
_atom_site_label
_atom_site_type_symbol
_atom_site_fract_x
_atom_site_fract_y
_atom_site_fract_z
Li1 Li 0.000 0.250 0.500
In1 In 0.000 0.000 0.000
Bi1 Bi 0.000 0.500 0.250
```

- Crystal system: cubic



*Q*
Li3InBi3: relaxed, GGA-PBE.

```
data_Li3InBi3
_space_group_name_H-M_alt 'C 1 2/m 1'
_space_group_IT_number 12
_cell_length_a 9.384
_cell_length_b 9.706
_cell_length_c 8.105
_cell_angle_alpha 90.00
_cell_angle_beta 90.09
_cell_angle_gamma 90.00
loop_
_space_group_symop_operation_xyz
'x,y,z'
'-x,-y,-z'
'-x,y,-z'
'x,-y,z'
'x+1/2,y+1/2,z'
'-x+1/2,-y+1/2,-z'
'-x+1/2,y+1/2,-z'
'x+1/2,-y+1/2,z'
loop_
_atom_site_label
_atom_site_type_symbol
_atom_site_fract_x
_atom_site_fract_y
_atom_site_fract_z
Li1 Li 0.000 0.234 0.000
Li2 Li 0.000 0.246 0.500
Li3 Li 0.246 0.500 0.500
In1 In 0.182 0.500 0.999
Bi1 Bi 0.000 0.000 0.256
Bi2 Bi 0.250 0.250 0.270
```

- Crystal system: monoclinic



Most stable: *Q*. Least stable: *P*.



*P*
LiInBi3: relaxed, GGA-PBE.

```
data_LiInBi3
_space_group_name_H-M_alt 'P m -3 m'
_space_group_IT_number 221
_space_group_name_Hall '-P 4 2 3'
_cell_length_a 5.294
_cell_length_b 5.294
_cell_length_c 5.294
_cell_angle_alpha 90.00
_cell_angle_beta 90.00
_cell_angle_gamma 90.00
loop_
_atom_site_label
_atom_site_type_symbol
_atom_site_fract_x
_atom_site_fract_y
_atom_site_fract_z
Li1 Li 0.000 0.000 0.000
In1 In 0.500 0.500 0.500
Bi1 Bi 0.000 0.000 0.500
```

- Crystal system: cubic



*Q*
LiInBi3: relaxed, GGA-PBE.

```
data_LiInBi3
_space_group_name_H-M_alt 'P m -3 m'
_space_group_IT_number 221
_space_group_name_Hall '-P 4 2 3'
_cell_length_a 5.824
_cell_length_b 5.824
_cell_length_c 5.824
_cell_angle_alpha 90.00
_cell_angle_beta 90.00
_cell_angle_gamma 90.00
loop_
_atom_site_label
_atom_site_type_symbol
_atom_site_fract_x
_atom_site_fract_y
_atom_site_fract_z
Li1 Li 0.000 0.000 0.000
In1 In 0.500 0.500 0.500
Bi1 Bi 0.000 0.500 0.500
```

- Crystal system: cubic



Most stable: *P*. Least stable: *Q*.